Compound: Rb3Li2ReO6
Source: Alexandria via LeMat-Bulk
Functional: PBE
Structure: relaxed Values from VASP.

Cell and atoms, written as Quantum ESPRESSO input:
```
&SYSTEM
  ibrav = 0, nat = 12, ntyp = 4
/
ATOMIC_SPECIES
Rb 85.47 Rb.upf
Li 6.94 Li.upf
Re 186.21 Re.upf
O 16.00 O.upf
CELL_PARAMETERS angstrom
2.881 -5.186 0.000
2.881 5.186 0.000
-1.477 0.000 6.156
ATOMIC_POSITIONS crystal
Rb 0.000 0.000 0.000
Rb 0.318 0.682 0.000
Rb 0.682 0.318 0.000
Li 0.211 0.789 0.500
Li 0.789 0.211 0.500
Re 0.500 0.500 0.500
O 0.156 0.427 0.348
O 0.326 0.326 0.717
O 0.427 0.156 0.348
O 0.573 0.844 0.652
O 0.674 0.674 0.283
O 0.844 0.573 0.652
```

Results
SG: C2/m (12)
Formation energy from raw total energies in eV/f.u.: -19.3
ρ in g cm⁻³: 4.99